DFT (PBE-GGA) results for an optimized crystal structure of Zr2ReIr.

## Properties
Calculated volume ... 18.220 Å³ per atom
DOS at the Fermi energy ... 3.26 states/eV/cell
SG ... I-4m2
Formation enthalpy at 0 K ... -265.3 meV/atom

a b c (Å): 5.4676 5.4676 5.4676
angles (deg): 137.82 137.82 61.18
Fractional coordinates of all 4 atoms:
Zr: 0.0000 0.0000 0.0000
Zr: 0.7500 0.2500 0.5000
Re: 0.5000 0.5000 0.0000
Ir: 0.2500 0.7500 0.5000